# 1
# KPb2Br (PBE-GGA, optimized geometry)
# Crystal system = orthorhombic
# Electronic total energy = -24.7 eV/cell
# Energy relative to the lowest polymorph listed for this composition = 0.032 eV/atom
data_KPb2Br
_cell_length_a 3.8543
_cell_length_b 4.8607
_cell_length_c 16.1050
_cell_angle_alpha 90.00
_cell_angle_beta 90.00
_cell_angle_gamma 90.00
_space_group_name_H-M_alt 'I m m m'
_space_group_IT_number 71
_space_group_name_Hall '-I 2 2'
loop_
_atom_site_label
_atom_site_type_symbol
_atom_site_fract_x
_atom_site_fract_y
_atom_site_fract_z
K1 K 0.0000 0.0000 0.0000
Pb1 Pb 0.0000 0.5000 0.2134
Br1 Br 0.0000 0.0000 0.5000

---

# 2
# KPb3Br (PBE-GGA, optimized geometry)
# Crystal system = cubic
# Electronic total energy = -9.8 eV/cell
# Energy relative to the lowest polymorph listed for this composition = 0.642 eV/atom
data_KPb3Br
_cell_length_a 6.1818
_cell_length_b 6.1818
_cell_length_c 6.1818
_cell_angle_alpha 90.00
_cell_angle_beta 90.00
_cell_angle_gamma 90.00
_space_group_name_H-M_alt 'P m -3 m'
_space_group_IT_number 221
_space_group_name_Hall '-P 4 2 3'
loop_
_atom_site_label
_atom_site_type_symbol
_atom_site_fract_x
_atom_site_fract_y
_atom_site_fract_z
K1 K 0.0000 0.0000 0.0000
Pb1 Pb 0.0000 0.0000 0.5000
Br1 Br 0.5000 0.5000 0.5000

---

# 3
# K2PbBr4 (PBE-GGA, optimized geometry)
# Crystal system = tetragonal
# Electronic total energy = -43.8 eV/cell
# Energy relative to the lowest polymorph listed for this composition = 0.082 eV/atom
data_K2PbBr4
_cell_length_a 5.9349
_cell_length_b 5.9349
_cell_length_c 16.9658
_cell_angle_alpha 90.00
_cell_angle_beta 90.00
_cell_angle_gamma 90.00
_space_group_name_H-M_alt 'I 4/m m m'
_space_group_IT_number 139
_space_group_name_Hall '-I 4 2'
loop_
_atom_site_label
_atom_site_type_symbol
_atom_site_fract_x
_atom_site_fract_y
_atom_site_fract_z
K1 K 0.0000 0.0000 0.1372
Pb1 Pb 0.0000 0.0000 0.5000
Br1 Br 0.0000 0.0000 0.3238
Br2 Br 0.0000 0.5000 0.0000

---

# 4
# K2Pb2Br7 (PBE-GGA, optimized geometry)
# Crystal system = orthorhombic
# Electronic total energy = -65.5 eV/cell
# Energy relative to the lowest polymorph listed for this composition = 0.012 eV/atom
data_K2Pb2Br7
_cell_length_a 9.6347
_cell_length_b 11.0115
_cell_length_c 7.9253
_cell_angle_alpha 90.00
_cell_angle_beta 90.00
_cell_angle_gamma 90.00
_space_group_name_H-M_alt 'C m m m'
_space_group_IT_number 65
_space_group_name_Hall '-C 2 2'
loop_
_atom_site_label
_atom_site_type_symbol
_atom_site_fract_x
_atom_site_fract_y
_atom_site_fract_z
K1 K 0.2432 0.0000 0.0000
Pb1 Pb 0.0000 0.2728 0.5000
Br1 Br 0.0000 0.0000 0.5000
Br2 Br 0.0000 0.5000 0.2679
Br3 Br 0.2500 0.2500 0.2514

---

# 5
# KPbBr2 (PBE-GGA, optimized geometry)
# Crystal system = monoclinic
# Electronic total energy = -12.3 eV/cell
# Energy relative to the lowest polymorph listed for this composition = 0.002 eV/atom
data_KPbBr2
_cell_length_a 3.9010
_cell_length_b 4.1709
_cell_length_c 8.4393
_cell_angle_alpha 90.00
_cell_angle_beta 90.00
_cell_angle_gamma 90.00
_space_group_name_H-M_alt 'P 1 2/m 1'
_space_group_IT_number 10
loop_
_space_group_symop_operation_xyz
'x,y,z'
'-x,-y,-z'
'-x,y,-z'
'x,-y,z'
loop_
_atom_site_label
_atom_site_type_symbol
_atom_site_fract_x
_atom_site_fract_y
_atom_site_fract_z
K1 K 0.0000 0.0000 0.0000
Pb1 Pb 0.5000 0.0000 0.5000
Br1 Br 0.4983 0.5000 0.7761

---

# 6
# KPbBr2 (PBE-GGA, optimized geometry)
# Crystal system = cubic
# Electronic total energy = -40.2 eV/cell
# Energy relative to the lowest polymorph listed for this composition = 0.572 eV/atom
data_KPbBr2
_cell_length_a 8.0633
_cell_length_b 8.0633
_cell_length_c 8.0633
_cell_angle_alpha 90.00
_cell_angle_beta 90.00
_cell_angle_gamma 90.00
_space_group_name_H-M_alt 'F -4 3 m'
_space_group_IT_number 216
_space_group_name_Hall 'F -4 2 3'
loop_
_atom_site_label
_atom_site_type_symbol
_atom_site_fract_x
_atom_site_fract_y
_atom_site_fract_z
K1 K 0.0000 0.0000 0.0000
Pb1 Pb 0.2500 0.2500 0.2500
Br1 Br 0.0000 0.0000 0.5000
Br2 Br 0.2500 0.2500 0.7500

---

# 7
# KPb2Br (PBE-GGA, optimized geometry)
# Crystal system = cubic
# Electronic total energy = -39.8 eV/cell
# Energy relative to the lowest polymorph listed for this composition = 0.634 eV/atom
data_KPb2Br
_cell_length_a 8.1670
_cell_length_b 8.1670
_cell_length_c 8.1670
_cell_angle_alpha 90.00
_cell_angle_beta 90.00
_cell_angle_gamma 90.00
_space_group_name_H-M_alt 'F m -3 m'
_space_group_IT_number 225
_space_group_name_Hall '-F 4 2 3'
loop_
_atom_site_label
_atom_site_type_symbol
_atom_site_fract_x
_atom_site_fract_y
_atom_site_fract_z
K1 K 0.0000 0.0000 0.0000
Pb1 Pb 0.2500 0.2500 0.2500
Br1 Br 0.0000 0.0000 0.5000

---

# 8
# KPb2Br6 (PBE-GGA, optimized geometry)
# Crystal system = monoclinic
# Electronic total energy = -54.0 eV/cell
data_KPb2Br6
_cell_length_a 7.9097
_cell_length_b 6.9242
_cell_length_c 15.0276
_cell_angle_alpha 90.00
_cell_angle_beta 121.74
_cell_angle_gamma 90.00
_space_group_name_H-M_alt 'P 1 21/c 1'
_space_group_IT_number 14
loop_
_space_group_symop_operation_xyz
'x,y,z'
'-x,-y,-z'
'-x,y+1/2,-z+1/2'
'x,-y+1/2,z+1/2'
loop_
_atom_site_label
_atom_site_type_symbol
_atom_site_fract_x
_atom_site_fract_y
_atom_site_fract_z
K1 K 0.0000 0.0000 0.0000
Pb1 Pb 0.3245 0.0014 0.8244
Br1 Br 0.0311 0.7358 0.8249
Br2 Br 0.3594 0.2300 0.0005
Br3 Br 0.3805 0.7326 0.1743

---

# 9
# KPb2Br (PBE-GGA, optimized geometry)
# Crystal system = orthorhombic
# Electronic total energy = -21.0 eV/cell
# Energy relative to the lowest polymorph listed for this composition = 0.492 eV/atom
data_KPb2Br
_cell_length_a 4.0554
_cell_length_b 6.1536
_cell_length_c 11.3523
_cell_angle_alpha 90.00
_cell_angle_beta 90.00
_cell_angle_gamma 90.00
_space_group_name_H-M_alt 'C m m m'
_space_group_IT_number 65
_space_group_name_Hall '-C 2 2'
loop_
_atom_site_label
_atom_site_type_symbol
_atom_site_fract_x
_atom_site_fract_y
_atom_site_fract_z
K1 K 0.0000 0.0000 0.0000
Pb1 Pb 0.0000 0.5000 0.2867
Br1 Br 0.0000 0.0000 0.5000

---

# 10
# KPbBr2 (PBE-GGA, optimized geometry)
# Crystal system = trigonal
# Electronic total energy = -35.8 eV/cell
# Energy relative to the lowest polymorph listed for this composition = 0.098 eV/atom
data_KPbBr2
_cell_length_a 4.0963
_cell_length_b 4.0963
_cell_length_c 27.8253
_cell_angle_alpha 90.00
_cell_angle_beta 90.00
_cell_angle_gamma 120.00
_space_group_name_H-M_alt 'R -3 m'
_space_group_IT_number 166
_space_group_name_Hall '-R 3 2"'
loop_
_atom_site_label
_atom_site_type_symbol
_atom_site_fract_x
_atom_site_fract_y
_atom_site_fract_z
K1 K 0.0000 0.0000 0.0000
Pb1 Pb 0.0000 0.0000 0.5000
Br1 Br 0.0000 0.0000 0.2548

---

# 11
# KPb3Br (PBE-GGA, optimized geometry)
# Crystal system = cubic
# Electronic total energy = -13.0 eV/cell
# Energy relative to the lowest polymorph listed for this composition = 0.000 eV/atom
data_KPb3Br
_cell_length_a 5.9041
_cell_length_b 5.9041
_cell_length_c 5.9041
_cell_angle_alpha 90.00
_cell_angle_beta 90.00
_cell_angle_gamma 90.00
_space_group_name_H-M_alt 'P m -3 m'
_space_group_IT_number 221
_space_group_name_Hall '-P 4 2 3'
loop_
_atom_site_label
_atom_site_type_symbol
_atom_site_fract_x
_atom_site_fract_y
_atom_site_fract_z
K1 K 0.0000 0.0000 0.0000
Pb1 Pb 0.0000 0.5000 0.5000
Br1 Br 0.5000 0.5000 0.5000

---

# 12
# KPb2Br (PBE-GGA, optimized geometry)
# Crystal system = tetragonal
# Electronic total energy = -12.5 eV/cell
# Energy relative to the lowest polymorph listed for this composition = 0.000 eV/atom
data_KPb2Br
_cell_length_a 3.7782
_cell_length_b 3.7782
_cell_length_c 9.4842
_cell_angle_alpha 90.00
_cell_angle_beta 90.00
_cell_angle_gamma 90.00
_space_group_name_H-M_alt 'P 4 m m'
_space_group_IT_number 99
loop_
_space_group_symop_operation_xyz
'x,y,z'
'-y,x,z'
'-x,-y,z'
'y,-x,z'
'-x,y,z'
'y,x,z'
'x,-y,z'
'-y,-x,z'
loop_
_atom_site_label
_atom_site_type_symbol
_atom_site_fract_x
_atom_site_fract_y
_atom_site_fract_z
K1 K 0.0000 0.0000 0.0000
Pb1 Pb 0.0000 0.0000 0.5488
Pb2 Pb 0.5000 0.5000 0.3198
Br1 Br 0.5000 0.5000 0.8198

---

Question: Look up the electronic total energy of the seventh one.
Answer: -39.8 eV/cell